DFT (PBE) results for a relaxed SmAl2Si2 crystal.

The structure belongs to space group P-3m1 (No. 164); the cell edges are 4.2167, 4.2167 and 6.7400 Å and the angles 90.00°, 90.00° and 120.00°. Symmetry generates all atoms from Sm at (0.0000, 0.0000, 0.0000), Al at (0.3333, 0.6667, 0.6422) and Si at (0.3333, 0.6667, 0.2645).

Its magnetization is 0.00 μB/cell. For the density, the calculation gives 4.17 g/cm3. The uncorrected formation energy comes out at -0.3877 eV/atom.